The following is a GGA-PBE calculation of a geometry-optimized Cs3RbB2S6 structure, from Alexandria via LeMat-Bulk.

abc: 7.541 7.541 9.449
angles: 90.00 90.00 120.00
Each line ends with the local moment (μB).
Atoms (fractional coordinates):
B: 0.667 0.333 0.728  -0.01
B: 0.333 0.667 0.272  -0.01
S: 0.804 0.609 0.724  0.20
S: 0.609 0.804 0.276  0.20
S: 0.196 0.804 0.276  0.20
S: 0.196 0.391 0.276  0.20
S: 0.391 0.196 0.724  0.20
S: 0.804 0.196 0.724  0.20
Cs: 0.000 0.000 0.000  0.00
Cs: 0.667 0.333 0.349  0.00
Cs: 0.333 0.667 0.651  0.00
Rb: 0.000 0.000 0.500  0.00

Values from the calculation:
As for the uncorrected formation energy: -9.86 eV per formula unit. For the density of states at the Fermi level, the calculation gives 0.511 states/eV/f.u. Its space-group type is P-3m1, No. 164. The value obtained for the magnetization is 2.05 μB/f.u. Its crystal system is trigonal.


The following is a GGA-PBE calculation of a geometry-optimized CsRbBSe2 structure, from Alexandria via LeMat-Bulk.

abc: 4.643 8.232 9.277
angles: 90.00 90.00 90.00
Each line ends with the local moment (μB).
Atoms (fractional coordinates):
B: 0.000 0.000 0.000  0.12
B: 0.000 0.000 0.500  0.12
Se: 0.000 0.227 0.500  0.01
Se: 0.000 0.227 0.000  0.01
Se: 0.000 0.773 0.500  0.01
Se: 0.000 0.773 0.000  0.01
Cs: 0.496 0.500 0.750  0.01
Cs: 0.504 0.500 0.250  0.01
Rb: 0.499 0.000 0.250  0.01
Rb: 0.501 0.000 0.750  0.01

Values from the calculation:
As for the uncorrected formation energy: -2.34 eV per formula unit. For the density of states at the Fermi level, the calculation gives 2.847 states/eV/f.u. Its space-group type is Pmma, No. 51. The value obtained for the magnetization is 0.39 μB/f.u. Its crystal system is orthorhombic.


The following is a GGA-PBE calculation of a geometry-optimized CsRbSiB2 structure, from Alexandria via LeMat-Bulk.

abc: 5.409 6.564 5.409
angles: 90.00 90.00 90.00
Each line ends with the local moment (μB).
Atoms (fractional coordinates):
Cs: 0.000 0.000 0.000  0.07
B: 0.000 0.000 0.500  0.06
B: 0.500 0.000 0.000  0.23
Rb: 0.000 0.500 0.000  0.00
Si: 0.500 0.500 0.500  0.03

Values from the calculation:
As for the uncorrected formation energy: 13.11 eV per formula unit. For the density of states at the Fermi level, the calculation gives 5.390 states/eV/f.u. Its space-group type is P4/mmm, No. 123. The value obtained for the magnetization is 0.84 μB/f.u. Its crystal system is tetragonal.


The following is a GGA-PBE calculation of a geometry-optimized CsRb2SrB structure, from Alexandria via LeMat-Bulk.

abc: 8.089 5.207 8.089
angles: 90.00 90.00 90.00
Each line ends with the local moment (μB).
Atoms (fractional coordinates):
Cs: 0.500 0.500 0.500  0.01
B: 0.000 0.500 0.000  0.17
Rb: 0.000 0.000 0.500  0.01
Rb: 0.500 0.000 0.000  0.00
Sr: 0.000 0.000 0.000  0.06

Values from the calculation:
For the density of states at the Fermi level, the calculation gives 5.396 states/eV/f.u. Its space-group type is P4/mmm, No. 123. The value obtained for the magnetization is 0.73 μB/f.u. The formation enthalpy at 0 K is 0.877 eV per atom. Its crystal system is tetragonal.


The following is a GGA-PBE calculation of a geometry-optimized CsRb2TiB structure, from Alexandria via LeMat-Bulk.

abc: 7.046 4.428 7.046
angles: 90.00 90.00 90.00
Each line ends with the local moment (μB).
Atoms (fractional coordinates):
Rb: 0.000 0.000 0.500  0.00
Rb: 0.500 0.000 0.000  0.00
Cs: 0.500 0.500 0.500  -0.01
Ti: 0.000 0.500 0.000  1.00
B: 0.000 0.000 0.000  -0.05

Values from the calculation:
For the density of states at the Fermi level, the calculation gives 3.329 states/eV/f.u. Its space-group type is P4/mmm, No. 123. The value obtained for the magnetization is 1.31 μB/f.u. The formation enthalpy at 0 K is 0.893 eV per atom. Its crystal system is tetragonal.


The following is a GGA-PBE calculation of a geometry-optimized Cs2RbTlB structure, from Alexandria via LeMat-Bulk.

abc: 7.552 5.366 7.552
angles: 90.00 90.00 90.00
Each line ends with the local moment (μB).
Atoms (fractional coordinates):
Cs: 0.500 0.000 0.000  0.00
Cs: 0.000 0.000 0.500  0.00
B: 0.000 0.500 0.000  0.49
Rb: 0.000 0.000 0.000  0.06
Tl: 0.500 0.500 0.500  -0.09

Values from the calculation:
For the density of states at the Fermi level, the calculation gives 4.632 states/eV/f.u. Its space-group type is P4/mmm, No. 123. The value obtained for the magnetization is 1.05 μB/f.u. The formation enthalpy at 0 K is 1.101 eV per atom. Its crystal system is tetragonal.


The following is a GGA-PBE calculation of a geometry-optimized CsRbTlB2 structure, from Alexandria via LeMat-Bulk.

abc: 5.660 6.587 5.660
angles: 90.00 90.00 90.00
Each line ends with the local moment (μB).
Atoms (fractional coordinates):
Rb: 0.000 0.000 0.000  0.08
B: 0.500 0.000 0.000  0.50
B: 0.000 0.000 0.500  0.27
Cs: 0.000 0.500 0.000  0.02
Tl: 0.500 0.500 0.500  0.00

Values from the calculation:
For the density of states at the Fermi level, the calculation gives 6.563 states/eV/f.u. Its space-group type is P4/mmm, No. 123. The value obtained for the magnetization is 2.34 μB/f.u. The formation enthalpy at 0 K is 2.114 eV per atom. Its crystal system is tetragonal.


The following is a GGA-PBE calculation of a geometry-optimized CsRe3B structure, from Alexandria via LeMat-Bulk.

abc: 4.947 4.947 4.947
angles: 90.00 90.00 90.00
Each line ends with the local moment (μB).
Atoms (fractional coordinates):
B: 0.500 0.500 0.500  -0.02
Re: 0.000 0.000 0.500  1.20
Re: 0.000 0.500 0.000  1.02
Re: 0.500 0.000 0.000  1.19
Cs: 0.000 0.000 0.000  0.01

Values from the calculation:
For the density of states at the Fermi level, the calculation gives 8.035 states/eV/f.u. Its space-group type is Pm-3m, No. 221. The value obtained for the magnetization is 3.80 μB/f.u. The formation enthalpy at 0 K is 5.005 eV per atom. Its crystal system is cubic.


The following is a GGA-PBE calculation of a geometry-optimized CsRe3B structure, from Alexandria via LeMat-Bulk.

abc: 4.366 4.366 4.366
angles: 90.00 90.00 90.00
Each line ends with the local moment (μB).
Atoms (fractional coordinates):
Cs: 0.500 0.500 0.500  0.09
Re: 0.500 0.000 0.000  0.43
Re: 0.000 0.500 0.000  0.48
Re: 0.000 0.000 0.500  0.41
B: 0.000 0.000 0.000  -0.02

Values from the calculation:
For the density of states at the Fermi level, the calculation gives 6.793 states/eV/f.u. Its space-group type is Pm-3m, No. 221. The value obtained for the magnetization is 1.60 μB/f.u. The formation enthalpy at 0 K is 1.799 eV per atom. Its crystal system is cubic.


The following is a GGA-PBE calculation of a geometry-optimized CsReB2 structure, from Alexandria via LeMat-Bulk.

abc: 6.583 6.583 6.583
angles: 60.00 60.00 90.00
Atoms (fractional coordinates):
Cs: 0.250 0.750 0.500
Cs: 0.500 0.500 0.000
Re: 0.000 0.000 0.000
Re: 0.750 0.250 0.500
B: 0.876 0.125 0.250
B: 0.875 0.126 0.750
B: 0.375 0.124 0.750
B: 0.874 0.625 0.250

Values from the calculation:
For the density of states at the Fermi level, the calculation gives 1.808 states/eV/f.u. Its space-group type is Fd-3m, No. 227. The value obtained for the magnetization is 0.00 μB/f.u. The formation enthalpy at 0 K is 0.589 eV per atom. Its crystal system is cubic.


The following is a GGA-PBE calculation of a geometry-optimized Cs3ReB structure, from Alexandria via LeMat-Bulk.

abc: 6.128 6.128 6.128
angles: 90.00 90.00 90.00
Each line ends with the local moment (μB).
Atoms (fractional coordinates):
B: 0.500 0.500 0.500  0.57
Cs: 0.000 0.500 0.000  0.00
Cs: 0.500 0.000 0.000  0.01
Cs: 0.000 0.000 0.500  0.03
Re: 0.000 0.000 0.000  -1.05

Values from the calculation:
For the density of states at the Fermi level, the calculation gives 7.601 states/eV/f.u. Its space-group type is Pm-3m, No. 221. The value obtained for the magnetization is 0.81 μB/f.u. The formation enthalpy at 0 K is 2.229 eV per atom. Its crystal system is cubic.


The following is a GGA-PBE calculation of a geometry-optimized CsRe2B structure, from Alexandria via LeMat-Bulk.

abc: 6.495 6.495 6.501
angles: 60.03 60.03 90.00
Atoms (fractional coordinates):
Cs: 0.750 0.250 0.500
Cs: 0.000 0.000 0.000
Re: 0.875 0.625 0.750
Re: 0.375 0.625 0.750
Re: 0.375 0.625 0.250
Re: 0.375 0.125 0.250
B: 0.250 0.750 0.500
B: 0.500 0.500 0.000

Values from the calculation:
For the density of states at the Fermi level, the calculation gives 6.891 states/eV/f.u. Its space-group type is I4_1/amd, No. 141. The value obtained for the magnetization is 0.01 μB/f.u. The formation enthalpy at 0 K is 1.730 eV per atom. Its crystal system is tetragonal.


The following is a GGA-PBE calculation of a geometry-optimized CsRe2BRh structure, from Alexandria via LeMat-Bulk.

abc: 4.750 6.605 4.750
angles: 90.00 90.00 90.00
Each line ends with the local moment (μB).
Atoms (fractional coordinates):
Rh: 0.000 0.000 0.000  0.05
B: 0.500 0.500 0.500  -0.38
Cs: 0.000 0.500 0.000  -0.03
Re: 0.500 0.000 0.000  1.63
Re: 0.000 0.000 0.500  1.62

Values from the calculation:
For the density of states at the Fermi level, the calculation gives 6.643 states/eV/f.u. Its space-group type is P4/mmm, No. 123. The value obtained for the magnetization is 2.87 μB/f.u. The formation enthalpy at 0 K is 2.827 eV per atom. Its crystal system is tetragonal.


The following is a GGA-PBE calculation of a geometry-optimized CsRe2BSb structure, from Alexandria via LeMat-Bulk.

abc: 4.320 5.698 4.320
angles: 90.00 90.00 90.00
Atoms (fractional coordinates):
Re: 0.000 0.000 0.500
Re: 0.500 0.000 0.000
Cs: 0.000 0.500 0.000
B: 0.000 0.000 0.000
Sb: 0.500 0.500 0.500

Values from the calculation:
As for the uncorrected formation energy: 8.09 eV per formula unit. For the density of states at the Fermi level, the calculation gives 5.169 states/eV/f.u. Its space-group type is P4/mmm, No. 123. The value obtained for the magnetization is 0.00 μB/f.u. Its crystal system is tetragonal.


The following is a GGA-PBE calculation of a geometry-optimized CsScRe2B structure, from Alexandria via LeMat-Bulk.

abc: 4.915 4.883 4.915
angles: 90.00 90.00 90.00
Each line ends with the local moment (μB).
Atoms (fractional coordinates):
Re: 0.000 0.000 0.500  1.80
Re: 0.500 0.000 0.000  2.06
B: 0.000 0.500 0.000  -0.15
Cs: 0.500 0.500 0.500  0.07
Sc: 0.000 0.000 0.000  -0.13

Values from the calculation:
For the density of states at the Fermi level, the calculation gives 3.902 states/eV/f.u. Its space-group type is P4/mmm, No. 123. The value obtained for the magnetization is 4.16 μB/f.u. The formation enthalpy at 0 K is 2.483 eV per atom. Its crystal system is tetragonal.


The following is a GGA-PBE calculation of a geometry-optimized CsZnReB2 structure, from Alexandria via LeMat-Bulk.

abc: 4.335 5.166 4.335
angles: 90.00 90.00 90.00
Atoms (fractional coordinates):
Re: 0.000 0.000 0.000
B: 0.000 0.000 0.500
B: 0.500 0.000 0.000
Zn: 0.000 0.500 0.000
Cs: 0.500 0.500 0.500

Values from the calculation:
For the density of states at the Fermi level, the calculation gives 2.804 states/eV/f.u. Its space-group type is P4/mmm, No. 123. The value obtained for the magnetization is 0.00 μB/f.u. The formation enthalpy at 0 K is 0.818 eV per atom. Its crystal system is tetragonal.


The following is a GGA-PBE calculation of a geometry-optimized CsBRh3 structure, from Alexandria via LeMat-Bulk.

abc: 4.368 4.368 4.368
angles: 90.00 90.00 90.00
Atoms (fractional coordinates):
B: 0.000 0.000 0.000
Cs: 0.500 0.500 0.500
Rh: 0.000 0.500 0.000
Rh: 0.500 0.000 0.000
Rh: 0.000 0.000 0.500

Values from the calculation:
For the density of states at the Fermi level, the calculation gives 6.810 states/eV/f.u. Its space-group type is Pm-3m, No. 221. The value obtained for the magnetization is 0.00 μB/f.u. The formation enthalpy at 0 K is 0.554 eV per atom. Its crystal system is cubic.


The following is a GGA-PBE calculation of a geometry-optimized Cs2BRh structure, from Alexandria via LeMat-Bulk.

abc: 9.338 9.338 9.338
angles: 92.65 92.65 155.17
Atoms (fractional coordinates):
B: 0.500 0.500 0.000
B: 0.750 0.250 0.500
Cs: 0.177 0.375 0.302
Cs: 0.625 0.927 0.802
Cs: 0.125 0.823 0.198
Cs: 0.073 0.875 0.698
Rh: 0.250 0.750 0.500
Rh: 0.000 0.000 0.000

Values from the calculation:
For the density of states at the Fermi level, the calculation gives 3.207 states/eV/f.u. Its space-group type is I-42d, No. 122. The value obtained for the magnetization is 0.00 μB/f.u. The formation enthalpy at 0 K is 0.476 eV per atom. Its crystal system is tetragonal.


The following is a GGA-PBE calculation of a geometry-optimized CsB3Rh structure, from Alexandria via LeMat-Bulk.

abc: 4.287 4.287 4.287
angles: 90.00 90.00 90.00
Atoms (fractional coordinates):
B: 0.000 0.500 0.000
B: 0.500 0.000 0.000
B: 0.000 0.000 0.500
Cs: 0.500 0.500 0.500
Rh: 0.000 0.000 0.000

Values from the calculation:
For the density of states at the Fermi level, the calculation gives 1.642 states/eV/f.u. Its space-group type is Pm-3m, No. 221. The value obtained for the magnetization is 0.00 μB/f.u. The formation enthalpy at 0 K is 1.031 eV per atom. Its crystal system is cubic.


The following is a GGA-PBE calculation of a geometry-optimized CsBRh3 structure, from Alexandria via LeMat-Bulk.

abc: 4.969 4.969 4.969
angles: 90.00 90.00 90.00
Each line ends with the local moment (μB).
Atoms (fractional coordinates):
B: 0.500 0.500 0.500  -0.02
Rh: 0.500 0.000 0.000  0.40
Rh: 0.000 0.500 0.000  0.46
Rh: 0.000 0.000 0.500  0.27
Cs: 0.000 0.000 0.000  0.00

Values from the calculation:
For the density of states at the Fermi level, the calculation gives 4.157 states/eV/f.u. Its space-group type is Pm-3m, No. 221. The value obtained for the magnetization is 1.10 μB/f.u. The formation enthalpy at 0 K is 2.916 eV per atom. Its crystal system is cubic.